Below is an optimized crystal structure of Ac3Ir2I2, with properties calculated at the PBE-GGA level.

Computed properties:
Uncorrected energy ... -78.0 eV/cell

abc: 14.5695 4.3385 8.5664
angles: 90.00 100.41 90.00
Closest atoms and distances in Å follow each position.
Fractional coordinates of all 14 atoms:
Ac 0.0000 0.0000 0.0000  4 Ir 2.98
Ac 0.2384 0.0000 0.7979  3 Ir 2.87-3.03
Ac 0.2616 0.5000 0.2021  3 Ir 2.87-3.03
Ac 0.5000 0.5000 0.0000  4 Ir 2.98
Ac 0.7384 0.5000 0.7979  3 Ir 2.87-3.03
Ac 0.7616 0.0000 0.2021  3 Ir 2.87-3.03
Ir 0.1232 0.5000 0.9174  5 Ac 2.87-3.03
Ir 0.3768 0.0000 0.0826  5 Ac 2.87-3.03
Ir 0.6232 0.0000 0.9174  5 Ac 2.87-3.03
Ir 0.8768 0.5000 0.0826  5 Ac 2.87-3.03
I 0.1215 0.0000 0.3883  4 Ac 3.47-3.61
I 0.3785 0.5000 0.6117  4 Ac 3.47-3.61
I 0.6215 0.5000 0.3883  4 Ac 3.47-3.61
I 0.8785 0.0000 0.6117  4 Ac 3.47-3.61


Below is an optimized crystal structure of AlV, with properties calculated at the PBE-GGA level.

Computed properties:
Formation energy ... 1.0307 eV/atom

abc: 4.3915 4.3915 4.9346
angles: 90.00 90.00 120.00
Closest atoms and distances in Å follow each position.
Fractional coordinates of all 4 atoms:
Al 0.3333 0.6667 0.2500  5 V 2.47-2.54
Al 0.6667 0.3333 0.7500  5 V 2.47-2.54
V 0.3333 0.6667 0.7500  5 Al 2.47-2.54
V 0.6667 0.3333 0.2500  5 Al 2.47-2.54


Below is an optimized crystal structure of NbGa2Au, with properties calculated at the PBE-GGA level.

Computed properties:
Relative energy among the computed polymorphs ... 234 meV per atom
Formation energy ... -0.0516 eV/atom

abc: 2.9613 2.9613 28.9905
angles: 90.00 90.00 120.00
Closest atoms and distances in Å follow each position.
Fractional coordinates of all 12 atoms:
Nb 0.0000 0.0000 0.0000  6 Ga 2.83, 6 Nb 2.96
Nb 0.3333 0.6667 0.6667  6 Ga 2.83, 6 Nb 2.96
Nb 0.6667 0.3333 0.3333  6 Ga 2.83, 6 Nb 2.96
Ga 0.0000 0.0000 0.4110  1 Au 2.58, 3 Nb 2.83
Ga 0.0000 0.0000 0.5890  1 Au 2.58, 3 Nb 2.83
Ga 0.3333 0.6667 0.0776  1 Au 2.58, 3 Nb 2.83
Ga 0.3333 0.6667 0.2557  1 Au 2.58, 3 Nb 2.83
Ga 0.6667 0.3333 0.7443  1 Au 2.58, 3 Nb 2.83
Ga 0.6667 0.3333 0.9224  1 Au 2.58, 3 Nb 2.83
Au 0.0000 0.0000 0.5000  2 Ga 2.58
Au 0.3333 0.6667 0.1667  2 Ga 2.58
Au 0.6667 0.3333 0.8333  2 Ga 2.58


Below is an optimized crystal structure of NiSb2Os, with properties calculated at the PBE-GGA level.

Computed properties:
Relative energy among the computed polymorphs ... 100 meV per atom

abc: 3.3581 3.9770 5.4380
angles: 90.00 90.00 90.00
Closest atoms and distances in Å follow each position.
Fractional coordinates of all 4 atoms:
Ni 0.0000 0.0000 0.0000  6 Sb 2.68-2.76
Sb 0.0000 0.0000 0.4925  2 Ni 2.68-2.76, 4 Os 2.72
Sb 0.5000 0.5000 0.8706  2 Os 2.60-2.83, 4 Ni 2.70
Os 0.5000 0.5000 0.3494  6 Sb 2.60-2.83


Below is an optimized crystal structure of Ca2SmAg9, with properties calculated at the PBE-GGA level.

Computed properties:
Formation energy ... -0.1883 eV/atom

abc: 9.9201 9.9201 9.9201
angles: 33.28 33.28 33.28
Closest atoms and distances in Å follow each position.
Fractional coordinates of all 12 atoms:
Ca 0.1411 0.1411 0.1411  12 Ag 3.27-3.46, 3 Ca 3.58
Ca 0.8589 0.8589 0.8589  12 Ag 3.27-3.46, 3 Ca 3.58
Sm 0.0000 0.0000 0.0000  6 Ag 3.28
Ag 0.0817 0.5846 0.5846  7 Ag 2.82-2.88
Ag 0.3330 0.3330 0.3330  6 Ag 2.85-2.88
Ag 0.4154 0.4154 0.9183  7 Ag 2.82-2.88
Ag 0.4154 0.9183 0.4154  7 Ag 2.82-2.88
Ag 0.5000 0.5000 0.5000  6 Ag 2.86
Ag 0.5846 0.0817 0.5846  7 Ag 2.82-2.88
Ag 0.5846 0.5846 0.0817  7 Ag 2.82-2.88
Ag 0.6670 0.6670 0.6670  6 Ag 2.85-2.88
Ag 0.9183 0.4154 0.4154  7 Ag 2.82-2.88


Below is an optimized crystal structure of K2ScSb2O6, with properties calculated at the PBE-GGA level.

Computed properties:
Uncorrected energy ... -66.4 eV/cell

abc: 5.7404 5.7404 7.0690
angles: 110.08 110.08 64.47
Closest atoms and distances in Å follow each position.
Fractional coordinates of all 11 atoms:
K 0.1954 0.1954 0.1340  5 O 2.69-3.01
K 0.8046 0.8046 0.8660  5 O 2.69-3.01
Sc 0.0000 0.0000 0.5000  6 O 2.12-2.17
Sb 0.4239 0.4239 0.7542  3 O 1.93-1.96
Sb 0.5761 0.5761 0.2458  3 O 1.93-1.96
O 0.2067 0.7095 0.2645  1 Sb 1.96, 1 Sc 2.17
O 0.2263 0.2263 0.5297  1 Sb 1.93, 1 Sc 2.12
O 0.2905 0.7933 0.7355  1 Sb 1.96, 1 Sc 2.17
O 0.7095 0.2067 0.2645  1 Sb 1.96, 1 Sc 2.17
O 0.7737 0.7737 0.4703  1 Sb 1.93, 1 Sc 2.12
O 0.7933 0.2905 0.7355  1 Sb 1.96, 1 Sc 2.17


Below is an optimized crystal structure of CoHIrBr, with properties calculated at the PBE-GGA level.

Computed properties:
Relative energy among the computed polymorphs ... 66 meV per atom

abc: 2.9970 3.0042 6.2822
angles: 90.00 102.56 90.00
Closest atoms and distances in Å follow each position.
Fractional coordinates of all 4 atoms:
Co 0.0000 0.0000 0.0000  1 H 1.91
H 0.6910 0.0000 0.6998  2 Ir 1.81, 1 Co 1.91
Ir 0.3923 0.5000 0.7513  2 H 1.81
Br 0.1396 0.5000 0.3159  2 Co 2.45, 1 Ir 2.67


Below is an optimized crystal structure of Nb2NiHRu, with properties calculated at the PBE-GGA level.

Computed properties:
Relative energy among the computed polymorphs ... 0 meV per atom

abc: 4.1115 4.1115 3.7337
angles: 90.00 90.00 90.00
Closest atoms and distances in Å follow each position.
Fractional coordinates of all 5 atoms:
Nb 0.0000 0.5000 0.0000  2 H 2.06
Nb 0.5000 0.0000 0.0000  2 H 2.06
Ni 0.0000 0.0000 0.5000  2 H 1.87
H 0.0000 0.0000 0.0000  2 Ni 1.87, 4 Nb 2.06
Ru 0.5000 0.5000 0.5000  8 Nb 2.78, 4 Ni 2.91


Density of states at the Fermi level, record by record: 0.290; 0.978; 0.593; 0.642; 0.750; 0.160; 0.943; 0.624 states/eV/atom